Material: Th3Tl3NiSe8
Method: DFT, PBE-GGA
State: optimized geometry

Values from the calculation:
* N(E_F): 5.58 states/eV per cell
* spin magnetization: 0.9 μB per formula unit
* ΔE_f (raw): -1.050 eV/atom
* calculated volume: 32.13 A^3/atom

Lattice parameters (Å, degrees): 8.3377 8.3377 9.1194 115.78 115.78 61.89
Fractional coordinates of all 15 atoms:
1 Th 0.0000 0.0000 0.0000
2 Th 0.0000 0.5000 0.0000
3 Th 0.5000 0.0000 0.0000
4 Tl 0.0000 0.5000 0.5000
5 Tl 0.5000 0.0000 0.5000
6 Tl 0.5000 0.5000 0.5000
7 Ni 0.5000 0.5000 0.0000
8 Se 0.2255 0.7393 0.2047
9 Se 0.2390 0.2390 0.2159
10 Se 0.2607 0.7745 0.7953
11 Se 0.2962 0.2962 0.8232
12 Se 0.7038 0.7038 0.1768
13 Se 0.7393 0.2255 0.2047
14 Se 0.7610 0.7610 0.7841
15 Se 0.7745 0.2607 0.7953